No. 1
A plane-wave DFT calculation with PBE-GGA was carried out for MoIrW after structural relaxation.

Cell: 4.4349 4.4349 5.5091 Å, 90.00 90.00 120.00°
Space group P6_3/mmc (No. 194)
One atom of each set of equivalent atoms:
Mo (0.3333, 0.6667, 0.2500) (multiplicity 2)
Ir (0.3333, 0.6667, 0.7500) (multiplicity 2)
W (0.0000, 0.0000, 0.0000) (multiplicity 2)

DOS(E_F) ... 6.70 states/eV per cell
Energy of formation from the pure elements ... 0.02 eV per atom

No. 2
A plane-wave DFT calculation with PBE-GGA was carried out for CePaZn4 after structural relaxation.

Cell: 3.118 4.659 8.103 Å, 90.00 90.00 90.00°
Space group Pmmm (No. 47)
One atom of each set of equivalent atoms:
Ce (0.000, 0.000, 0.000) (multiplicity 1)
Pa (0.000, 0.500, 0.500) (multiplicity 1)
Zn (0.500, 0.000, 0.337) (multiplicity 2)
Zn (0.500, 0.500, 0.170) (multiplicity 2)

DOS(E_F) ... 8.27 states/eV per cell
Energy of formation from the pure elements ... -0.19 eV per atom

Copy entry 2 word for word.
A plane-wave DFT calculation with PBE-GGA was carried out for CePaZn4 after structural relaxation.

Cell: 3.118 4.659 8.103 Å, 90.00 90.00 90.00°
Space group Pmmm (No. 47)
One atom of each set of equivalent atoms:
Ce (0.000, 0.000, 0.000) (multiplicity 1)
Pa (0.000, 0.500, 0.500) (multiplicity 1)
Zn (0.500, 0.000, 0.337) (multiplicity 2)
Zn (0.500, 0.500, 0.170) (multiplicity 2)

DOS(E_F) ... 8.27 states/eV per cell
Energy of formation from the pure elements ... -0.19 eV per atom